(one)
Here is K5Te after structural relaxation from Alexandria. Energies are from PBE.

a = 7.784 Å, b = 7.784 Å, c = 7.784 Å
α = 60.00°, β = 60.00°, γ = 60.00°
Fractional positions:
K 0.627 0.627 0.120
K 0.120 0.627 0.627
K 0.627 0.627 0.627
K 0.627 0.120 0.627
K 0.250 0.250 0.250
Te 0.000 0.000 0.000

Results
Fermi-level density of states ... 0.598 states/eV per atom
Symmetry ... F-43m (216)
Density ... 1.61 g/cm3



(two)
Here is K5Te after structural relaxation from Alexandria. Energies are from PBE.

a = 9.481 Å, b = 9.481 Å, c = 5.064 Å
α = 90.00°, β = 90.00°, γ = 120.00°
Fractional positions:
K 0.000 0.755 0.000
K 0.755 0.000 0.000
K 0.667 0.333 0.500
K 0.245 0.245 0.000
Te 0.000 0.000 0.500
K 0.333 0.667 0.500

Results
Fermi-level density of states ... 0.377 states/eV per atom
Symmetry ... P-62m (189)
Density ... 1.36 g/cm3



(three)
Here is K5Te after structural relaxation from Alexandria. Energies are from PBE.

a = 9.676 Å, b = 9.676 Å, c = 6.076 Å
α = 90.00°, β = 90.00°, γ = 146.91°
Fractional positions:
K 0.660 0.340 0.500
K 0.340 0.660 0.500
Te 0.500 0.500 0.000
K 0.865 0.135 0.000
K 0.000 0.000 0.500
K 0.135 0.865 0.000

Results
Fermi-level density of states ... 0.568 states/eV per atom
Symmetry ... Cmmm (65)
Density ... 1.73 g/cm3



(four)
Here is K5Te after structural relaxation from Alexandria. Energies are from PBE.

a = 8.233 Å, b = 8.233 Å, c = 10.814 Å
α = 64.18°, β = 64.18°, γ = 32.89°
Fractional positions:
K 0.695 0.695 0.611
K 0.080 0.080 0.997
K 0.309 0.309 0.225
K 0.356 0.356 0.843
K 0.033 0.033 0.379
Te 0.694 0.694 0.111

Results
Fermi-level density of states ... 0.544 states/eV per atom
Symmetry ... Cm (8)
Density ... 1.51 g/cm3



Stability order, top to bottom: (four), (two), (three), (one)



(one)
Here is K5Te4 after structural relaxation from Alexandria. Energies are from PBE.

a = 11.300 Å, b = 11.300 Å, c = 6.741 Å
α = 90.00°, β = 90.00°, γ = 120.00°
Fractional positions:
K 0.667 0.333 0.000
K 0.667 0.333 0.500
Te 0.000 0.000 0.000
Te 0.546 0.000 0.750
Te 0.454 0.454 0.750
K 0.255 0.255 0.250
Te 0.000 0.000 0.500
K 0.745 0.745 0.750
K 0.745 0.000 0.250
K 0.255 0.000 0.750
K 0.000 0.745 0.250
Te 0.454 0.000 0.250
K 0.000 0.255 0.750
Te 0.000 0.454 0.250
Te 0.546 0.546 0.250
K 0.333 0.667 0.500
Te 0.000 0.546 0.750
K 0.333 0.667 0.000

Results
Fermi-level density of states ... 0.627 states/eV per atom
Symmetry ... P6_3/mcm (193)
Density ... 3.14 g/cm3



(two)
Here is K5Te4 after structural relaxation from Alexandria. Energies are from PBE.

a = 5.506 Å, b = 6.547 Å, c = 11.751 Å
α = 91.31°, β = 76.45°, γ = 65.13°
Fractional positions:
K 0.806 0.568 0.820
K 0.000 0.000 0.000
K 0.194 0.432 0.180
K 0.182 0.002 0.633
Te 0.512 0.601 0.376
Te 0.488 0.399 0.624
K 0.818 0.998 0.367
Te 0.485 0.170 0.860
Te 0.515 0.830 0.140

Results
Fermi-level density of states ... 0.123 states/eV per atom
Symmetry ... C2/m (12)
Density ... 3.17 g/cm3



Stability order, top to bottom: (two), (one)